# NdY2Th

A relaxed NdY2Th crystal (PBE, Alexandria).

Results
The formation energy comes out at 45 meV/atom. The value obtained for the offset from the most stable computed form is 46 meV per atom. The calculation puts the volume at 131.4 Å³/cell. The value obtained for the energy is -24.9 eV per cell.

The structure in CIF format:
```
data_NdY2Th
_chemical_formula_sum 'Nd1 Y2 Th1'
_cell_length_a 5.106
_cell_length_b 5.106
_cell_length_c 5.040
_cell_angle_alpha 90.00
_cell_angle_beta 90.00
_cell_angle_gamma 90.00
_symmetry_space_group_name_H-M 'P 4/m m m'
_symmetry_Int_Tables_number 123
_symmetry_space_group_name_Hall '-P 4 2'
loop_
_atom_site_label
_atom_site_type_symbol
_atom_site_fract_x
_atom_site_fract_y
_atom_site_fract_z
Nd1 Nd 0.000 0.000 0.000
Y1 Y 0.000 0.500 0.500
Th1 Th 0.500 0.500 0.000
```